An optimized crystal structure of Na4VO4, computed with PBE+U.

Excess energy over the best structure of this formula in the dataset = 97 kJ/mol of formula units
E_tot = -5.251 eV per atom
Space-group type = I-42m
Density = 2255 kg/m³

```
Na4VO4
1.0
5.674 0.000 0.000
0.000 5.674 0.000
-2.837 -2.837 4.733
O Na V
4 4 1
Direct
0.909 0.297 0.206
0.297 0.909 0.206
0.091 0.091 0.794
0.703 0.703 0.794
0.698 0.698 0.397
0.302 0.302 0.603
0.500 0.000 0.000
0.000 0.500 0.000
0.000 0.000 0.000
```